Density functional theory data (GGA-PBE) for PrHo2Si after structural relaxation.

POSCAR file:
```
PrHo2Si
1.0
1.8794 1.0851 9.7289
-1.8794 1.0851 9.7289
0.0000 -2.1702 9.7289
Pr Ho Si
1 2 1
Cartesian
0.0000 0.0000 0.0000
0.0000 0.0000 16.3693
0.0000 0.0000 22.4650
0.0000 0.0000 4.8166
```

Its space-group type is R3m (160). Its crystal system is trigonal. The calculation puts the density of states at the Fermi level at 1.389 states/eV/atom. Its excess energy over the best structure of this formula in the dataset is 0.0000 eV/atom. The calculation puts the total magnetic moment at 0.00 μB/f.u.

---

Density functional theory data (GGA-PBE) for PrHoZnSi after structural relaxation.

POSCAR file:
```
PrHoZnSi
1.0
4.0835 0.0000 0.0000
0.0000 2.1176 5.5906
0.0000 -2.1176 5.5906
Pr Ho Zn Si
1 1 1 1
Cartesian
0.0000 0.0000 0.0000
2.0418 0.0000 3.1873
2.0418 0.0000 6.5153
0.0000 0.0000 8.0558
```

Its space-group type is Amm2 (38). Its crystal system is orthorhombic. The calculation puts the density of states at the Fermi level at 0.934 states/eV/atom. Its excess energy over the best structure of this formula in the dataset is 0.0000 eV/atom. The calculation puts the total magnetic moment at 0.00 μB/f.u.

---

Density functional theory data (GGA-PBE) for PrHo2Zn2Si2 after structural relaxation.

POSCAR file:
```
PrHo2Zn2Si2
1.0
2.0468 1.1817 11.2582
-2.0468 1.1817 11.2582
0.0000 -2.3635 11.2582
Pr Ho Zn Si
1 2 2 2
Cartesian
0.0000 0.0000 0.0000
0.0000 0.0000 4.1651
0.0000 0.0000 29.6094
0.0000 0.0000 13.4113
0.0000 0.0000 20.3632
0.0000 0.0000 9.0172
0.0000 0.0000 24.7574
```

Its space-group type is R-3m (166). Its crystal system is trigonal. The calculation puts the final energy at -4.35 eV/atom. The calculation puts the density of states at the Fermi level at 1.082 states/eV/atom. The calculation puts the total magnetic moment at 0.00 μB/f.u.

---

Density functional theory data (GGA-PBE) for PrHoZnSi after structural relaxation.

POSCAR file:
```
PrHoZnSi
1.0
0.0000 3.5892 3.5892
3.5892 0.0000 3.5892
3.5892 3.5892 0.0000
Pr Ho Zn Si
1 1 1 1
Cartesian
0.0000 0.0000 0.0000
3.5892 3.5892 3.5892
1.7946 1.7946 1.7946
5.3838 5.3838 5.3838
```

Its space-group type is F-43m (216). Its crystal system is cubic. The calculation puts the density of states at the Fermi level at 0.455 states/eV/atom. Its excess energy over the best structure of this formula in the dataset is 0.0985 eV/atom. The calculation puts the total magnetic moment at 0.00 μB/f.u.

---

Density functional theory data (GGA-PBE) for PrSm8Ho3 after structural relaxation.

POSCAR file:
```
PrSm8Ho3
1.0
-3.2145 4.4313 7.2168
3.2145 -4.4313 7.2168
3.2145 4.4313 -7.2168
Pr Sm Ho
1 8 3
Cartesian
0.0000 0.0000 0.0000
2.1726 3.1159 -4.1487
2.3474 1.5136 -1.3830
4.0817 1.5136 1.3830
1.0419 1.3153 3.0681
1.0419 -1.3153 11.3655
0.8672 2.9177 5.8339
-0.8672 2.9177 8.5998
2.1726 5.7466 4.1487
3.2145 0.0000 5.5084
0.0000 0.0000 7.2168
0.0000 4.4313 1.7085
```

Its space-group type is I222 (23). Its crystal system is orthorhombic. The calculation puts the density of states at the Fermi level at 1.390 states/eV/atom. The energy of formation from the pure elements is 30 kJ per mole of atoms. The calculation puts the total magnetic moment at 0.00 μB/f.u.

---

Density functional theory data (GGA-PBE) for Pr2Sm2Ho after structural relaxation.

POSCAR file:
```
Pr2Sm2Ho
1.0
-1.8374 2.9165 16.1839
1.8374 -2.9165 16.1839
1.8374 2.9165 -16.1839
Pr Sm Ho
4 4 2
Cartesian
0.0000 1.4582 0.6894
0.0000 1.4582 3.8787
1.8374 1.4582 12.3052
1.8374 1.4582 15.4946
1.8374 -1.4582 9.9040
1.8374 1.4582 6.7277
0.0000 1.4582 9.4562
0.0000 4.3747 6.2799
1.8374 1.4582 -2.5831
0.0000 1.4582 18.7671
```

Its space-group type is Imma (74). Its crystal system is orthorhombic. The calculation puts the density of states at the Fermi level at 1.572 states/eV/atom. Its excess energy over the best structure of this formula in the dataset is 0.0000 eV/atom. The energy of formation from the pure elements is 13 kJ per mole of atoms. The calculation puts the total magnetic moment at 0.00 μB/f.u.

---

Density functional theory data (GGA-PBE) for Pr14SmHo after structural relaxation.

POSCAR file:
```
Pr14SmHo
1.0
7.3875 0.0000 0.0000
0.0000 7.3875 0.0000
0.0000 0.0000 10.4720
Pr Sm Ho
14 1 1
Cartesian
0.0000 0.0000 0.0000
0.0000 3.6938 0.0000
0.0000 3.6938 5.2360
1.8409 1.8409 2.6415
1.8409 1.8409 7.8305
1.8409 5.5466 2.6415
1.8409 5.5466 7.8305
3.6938 0.0000 0.0000
3.6938 0.0000 5.2360
3.6938 3.6938 0.0000
5.5466 1.8409 2.6415
5.5466 1.8409 7.8305
5.5466 5.5466 2.6415
5.5466 5.5466 7.8305
3.6938 3.6938 5.2360
0.0000 0.0000 5.2360
```

Its space-group type is P4/mmm (123). Its crystal system is tetragonal. The calculation puts the density of states at the Fermi level at 1.620 states/eV/atom. The energy of formation from the pure elements is 1 kJ per mole of atoms. The calculation puts the total magnetic moment at 0.00 μB/f.u.

---

Density functional theory data (GGA-PBE) for Pr5Sm4Ho2 after structural relaxation.

POSCAR file:
```
Pr5Sm4Ho2
1.0
-1.7749 4.7068 11.7850
1.7749 -4.7068 11.7850
1.7749 4.7068 -11.7850
Pr Sm Ho
5 4 2
Cartesian
0.0000 0.0000 0.0000
1.7749 1.9272 -3.5383
1.7749 1.9272 3.5383
0.0000 2.7797 8.2467
0.0000 2.7797 15.3233
1.7749 2.8605 0.0000
1.7749 0.0000 9.5156
0.0000 4.7068 2.2694
0.0000 1.8463 11.7850
1.7749 0.0000 6.3634
0.0000 4.7068 5.4216
```

Its space-group type is Immm (71). Its crystal system is orthorhombic. The calculation puts the density of states at the Fermi level at 1.566 states/eV/atom. Its excess energy over the best structure of this formula in the dataset is 0.0931 eV/atom. The energy of formation from the pure elements is 21 kJ per mole of atoms. The calculation puts the total magnetic moment at 0.00 μB/f.u.

---

Density functional theory data (GGA-PBE) for Pr4Sm3Ho after structural relaxation.

POSCAR file:
```
Pr4Sm3Ho
1.0
10.3590 0.0000 0.0000
0.0000 7.3092 0.0000
0.0000 0.0000 7.3077
Pr Sm Ho
8 6 2
Cartesian
0.0000 0.0000 0.0000
0.0000 3.6546 3.6539
2.5897 1.8178 1.8269
2.5897 5.4914 5.4808
5.1795 0.0000 3.6539
5.1795 3.6546 0.0000
7.7692 1.8178 1.8269
7.7692 5.4914 5.4808
0.0000 3.6546 0.0000
2.5897 1.8167 5.4808
2.5897 5.4925 1.8269
5.1795 3.6546 3.6539
7.7692 1.8167 5.4808
7.7692 5.4925 1.8269
0.0000 0.0000 3.6539
5.1795 0.0000 0.0000
```

Its space-group type is Pmna (53). Its crystal system is orthorhombic. The calculation puts the density of states at the Fermi level at 1.559 states/eV/atom. Its excess energy over the best structure of this formula in the dataset is 0.0000 eV/atom. The energy of formation from the pure elements is 2 kJ per mole of atoms. The calculation puts the total magnetic moment at 0.00 μB/f.u.

---

Density functional theory data (GGA-PBE) for PrSmHo after structural relaxation.

POSCAR file:
```
PrSmHo
1.0
4.9005 0.0000 0.0000
0.0000 4.9005 0.0000
0.0000 0.0000 8.7742
Pr Sm Ho
2 2 2
Cartesian
1.2251 1.2251 1.7082
3.6753 3.6753 7.0660
1.2251 3.6753 4.3871
3.6753 1.2251 4.3871
1.2251 1.2251 7.0043
3.6753 3.6753 1.7700
```

Its space-group type is P4/nmm (129). Its crystal system is tetragonal. The calculation puts the density of states at the Fermi level at 1.332 states/eV/atom. Its excess energy over the best structure of this formula in the dataset is 0.2110 eV/atom. The energy of formation from the pure elements is 21 kJ per mole of atoms. The calculation puts the total magnetic moment at 0.00 μB/f.u.

---

Density functional theory data (GGA-PBE) for Pr5Sm2Ho2 after structural relaxation.

POSCAR file:
```
Pr5Sm2Ho2
1.0
5.7902 -2.5842 0.0000
5.7902 2.5842 0.0000
-3.4802 0.0000 10.3826
Pr Sm Ho
5 2 2
Cartesian
0.0000 0.0000 0.0000
2.3058 0.0000 4.6211
3.4797 0.0000 1.1600
4.6206 0.0000 9.2226
5.7945 0.0000 5.7616
-2.3152 0.0000 6.9338
10.4154 0.0000 3.4488
1.1530 0.0000 8.0640
6.9473 0.0000 2.3187
```

Its space-group type is C2/m (12). Its crystal system is monoclinic. The calculation puts the density of states at the Fermi level at 1.551 states/eV/atom. Its excess energy over the best structure of this formula in the dataset is 0.0000 eV/atom. The energy of formation from the pure elements is 2 kJ per mole of atoms. The calculation puts the total magnetic moment at 0.00 μB/f.u.